A relaxed structure of GdAuSeO, computed with PBE.

Properties
raw total energy = -5.521 eV per atom
spin magnetization = 0.00 μB per cell
volume = 21.52 Å³/atom
mass density = 8.67 g/cm³
space group = Pmc2_1

Lattice parameters (Å, degrees): 4.282 6.056 6.639 90.00 90.00 90.00
Atoms (fractional coordinates):
1 Au 0.000 0.247 0.119
2 Au 0.000 0.753 0.619
3 Gd 0.500 0.209 0.470
4 Gd 0.500 0.791 0.970
5 O 0.500 0.067 0.168
6 O 0.500 0.933 0.668
7 Se 0.000 0.645 0.235
8 Se 0.000 0.355 0.735